Crystalline K2SrMoO4 at its relaxed geometry, computed with PBE with a Hubbard U.

The structure in CIF format:
```
data_K2SrMoO4
_chemical_formula_sum 'K4 Sr2 Mo2 O8'
_cell_length_a 6.279
_cell_length_b 6.279
_cell_length_c 7.641
_cell_angle_alpha 90.00
_cell_angle_beta 90.00
_cell_angle_gamma 90.00
_symmetry_space_group_name_H-M 'I -4'
_symmetry_Int_Tables_number 82
_symmetry_space_group_name_Hall 'I -4'
loop_
_atom_site_label
_atom_site_fract_x
_atom_site_fract_y
_atom_site_fract_z
_atom_site_occupancy
K1 0.000 0.000 0.000 1
K2 0.000 0.500 0.250 1
Sr1 0.000 0.500 0.750 1
Mo1 0.000 0.000 0.500 1
O1 0.177 0.763 0.562 1
```

Summary:
spin magnetization: 0.05 μB/f.u.
electronic total energy: -91.3 eV/cell
crystal system: tetragonal